Entry from Alexandria: crystalline Li4AcInPb2 at its relaxed geometry (PBE).

a = 4.9032 Å, b = 4.9032 Å, c = 9.5743 Å
α = 75.16°, β = 75.16°, γ = 60.00°
With the nearest neighbours (Å) after each atom.
Fractional coordinates of all 8 atoms:
1 Pb 0.2535 0.2535 0.2394  6 Li 2.85-3.17
2 Li 0.8683 0.8683 0.3952  3 In 2.99, 4 Pb 3.17-3.34, 3 Li 3.31
3 Li 0.4024 0.4024 0.7928  1 In 2.68, 3 Pb 2.85
4 Li 0.5976 0.5976 0.2072  1 In 2.68, 3 Pb 2.85
5 In 0.5000 0.5000 0.5000  8 Li 2.68-2.99
6 Pb 0.7465 0.7465 0.7606  6 Li 2.85-3.17
7 Li 0.1317 0.1317 0.6048  3 In 2.99, 4 Pb 3.17-3.34, 3 Li 3.31
8 Ac 0.0000 0.0000 0.0000  8 Li 3.41-3.61, 6 Pb 3.58

The value obtained for the total magnetic moment is 0.0 μB/f.u. As for the formation energy from the elements: -0.32 eV per atom.